GeSbTeI2 | GGA-PBE | relaxed

Symmetry: P4/mmm, No. 123
Formation energy from raw total energies, eV per atom: 0.737
Energy relative to the lowest polymorph listed for this composition, meV/atom: 350

```
GeSbTeI2
1.0
5.8324 0.0000 0.0000
0.0000 5.8324 0.0000
0.0000 0.0000 6.0688
I Sb Te Ge
2 1 1 1
Direct
0.5000 0.0000 0.0000
0.0000 0.5000 0.0000
0.0000 0.0000 0.5000
0.0000 0.0000 0.0000
0.5000 0.5000 0.5000
```



PrSm4In2 | GGA-PBE | relaxed

Energy of formation, eV/atom: 0.10
Symmetry: I4/mmm, No. 139
Energy relative to the lowest polymorph listed for this composition, meV/atom: 245

```
PrSm4In2
1.0
5.9764 0.0000 0.0000
0.0000 5.9764 0.0000
-2.9882 -2.9882 6.3504
Sm Pr In
4 1 2
Direct
0.5000 0.0000 0.0000
0.2500 0.7500 0.5000
0.0000 0.5000 0.0000
0.7500 0.2500 0.5000
0.0000 0.0000 0.0000
0.3744 0.3744 0.7489
0.6256 0.6256 0.2511
```



MgCrMo | GGA-PBE | relaxed

Energy of formation, eV/atom: 0.34
Symmetry: Fmm2, No. 42
Energy relative to the lowest polymorph listed for this composition, meV/atom: 30

```
MgCrMo
1.0
-0.2216 4.5606 5.4117
-2.2771 5.3059 3.7457
-0.9187 -1.4559 2.1430
Mg Cr Mo
1 1 1
Direct
0.6626 0.6626 0.3374
0.9893 0.9893 0.0107
0.3481 0.3481 0.6519
```



PuCr4Te8 | GGA-PBE | relaxed

Symmetry: R-3m, No. 166
Formation energy from raw total energies, eV per atom: -0.312

```
PuCr4Te8
1.0
-5.6836 -1.3657 5.2798
-4.8757 -6.1124 -0.9540
0.8623 -6.5603 5.1070
Te Cr Pu
8 4 1
Direct
0.2361 0.2361 0.7813
0.7639 0.7639 0.2187
0.7639 0.2535 0.2187
0.2361 0.7465 0.7813
0.2606 0.2606 0.2182
0.2535 0.7639 0.2187
0.7394 0.7394 0.7818
0.7465 0.2361 0.7813
0.5000 0.5000 0.0000
0.5000 0.0000 0.0000
0.0000 0.0000 0.0000
0.0000 0.5000 0.0000
0.5000 0.5000 0.5000
```



Sc2NbW | GGA-PBE | relaxed

Energy of formation, eV/atom: 0.55
Symmetry: R-3m, No. 166
Energy relative to the lowest polymorph listed for this composition, meV/atom: 94

```
Sc2NbW
1.0
9.3722 -0.8313 4.7104
10.3212 0.0697 2.0456
9.4787 2.0666 4.0744
Sc W Nb
2 1 1
Direct
0.0865 0.0865 0.0865
0.9135 0.9135 0.9135
0.0000 0.0000 0.0000
0.5000 0.5000 0.5000
```



BeAlPt2 | GGA-PBE | relaxed

Energy of formation, eV/atom: -0.81
Symmetry: C2/m, No. 12

```
BeAlPt2
1.0
-5.6952 -0.2866 2.6532
2.9753 -3.2157 0.1004
-0.0979 0.0082 2.8222
Al Pt Be
1 2 1
Direct
0.0000 0.5000 0.5000
0.0000 0.0000 0.0000
0.5000 0.0000 0.5000
0.5000 0.5000 0.0000
```



Number 1: DOS at the Fermi energy 4.6 states/eV per cell. Number 2: DOS at the Fermi energy 10.4 states/eV per cell. Number 3: DOS at the Fermi energy 2.5 states/eV per cell. Number 4: DOS at the Fermi energy 15.1 states/eV per cell. Number 5: DOS at the Fermi energy 4.9 states/eV per cell. Number 6: DOS at the Fermi energy 0.9 states/eV per cell.